This record from the Alexandria database describes a geometry-optimized YZrSc2As4 structure. The functional is GGA-PBE.

The energy relative to the elements comes out at -1.355 eV per atom. Its mass density is 5.50 Mg/m³.

Geometry as CIF:
```
data_YZrSc2As4
_chemical_formula_sum 'Y1 Zr1 Sc2 As4'
_cell_length_a 6.789
_cell_length_b 3.936
_cell_length_c 6.821
_cell_angle_alpha 90.00
_cell_angle_beta 109.37
_cell_angle_gamma 90.00
_space_group_name_H-M_alt 'P 1 2/m 1'
_space_group_IT_number 10
_space_group_name_Hall '-P 2y'
loop_
_atom_site_label
_atom_site_type_symbol
_atom_site_fract_x
_atom_site_fract_y
_atom_site_fract_z
_atom_site_occupancy
Y1 Y 0.000 0.000 0.000 1
Zr1 Zr 0.000 0.500 0.500 1
Sc1 Sc 0.500 0.000 0.500 1
Sc2 Sc 0.500 0.500 0.000 1
As1 As 0.256 0.000 0.745 1
As2 As 0.261 0.500 0.261 1
```

This record from the Alexandria database describes a geometry-optimized RuC3 structure. The functional is GGA-PBE.

The energy relative to the elements comes out at 2.891 eV per atom. The energy above the most stable polymorph in this dataset is 1.984 eV/atom. Its mass density is 6.58 Mg/m³.

Geometry as CIF:
```
data_RuC3
_chemical_formula_sum 'Ru4 C12'
_cell_length_a 5.172
_cell_length_b 5.172
_cell_length_c 5.172
_cell_angle_alpha 90.00
_cell_angle_beta 90.00
_cell_angle_gamma 90.00
_space_group_name_H-M_alt 'F m -3 m'
_space_group_IT_number 225
_space_group_name_Hall '-F 4 2 3'
loop_
_atom_site_label
_atom_site_type_symbol
_atom_site_fract_x
_atom_site_fract_y
_atom_site_fract_z
_atom_site_occupancy
Ru1 Ru 0.000 0.000 0.000 1
C1 C 0.000 0.000 0.500 1
C2 C 0.250 0.250 0.250 1
```

This record from the Alexandria database describes a geometry-optimized Er8Al2In structure. The functional is GGA-PBE.

The energy relative to the elements comes out at -0.180 eV per atom. The energy above the most stable polymorph in this dataset is 0.000 eV/atom. Its mass density is 8.36 Mg/m³.

Geometry as CIF:
```
data_Er8Al2In
_chemical_formula_sum 'Er16 Al4 In2'
_cell_length_a 4.955
_cell_length_b 8.310
_cell_length_c 14.533
_cell_angle_alpha 90.00
_cell_angle_beta 90.00
_cell_angle_gamma 90.00
_space_group_name_H-M_alt 'I m m m'
_space_group_IT_number 71
_space_group_name_Hall '-I 2 2'
loop_
_atom_site_label
_atom_site_type_symbol
_atom_site_fract_x
_atom_site_fract_y
_atom_site_fract_z
_atom_site_occupancy
Er1 Er 0.000 0.000 0.146 1
Er2 Er 0.000 0.213 0.340 1
Er3 Er 0.000 0.310 0.000 1
Al1 Al 0.000 0.500 0.194 1
In1 In 0.000 0.500 0.500 1
```

This record from the Alexandria database describes a geometry-optimized LaY2Zr structure. The functional is GGA-PBE.

The energy relative to the elements comes out at 0.107 eV per atom. The energy above the most stable polymorph in this dataset is 0.031 eV/atom. Its mass density is 5.55 Mg/m³.

Geometry as CIF:
```
data_LaY2Zr
_chemical_formula_sum 'La1 Y2 Zr1'
_cell_length_a 3.493
_cell_length_b 3.493
_cell_length_c 10.010
_cell_angle_alpha 90.00
_cell_angle_beta 90.00
_cell_angle_gamma 90.00
_space_group_name_H-M_alt 'P 4 m m'
_space_group_IT_number 99
_space_group_name_Hall 'P 4 -2'
loop_
_atom_site_label
_atom_site_type_symbol
_atom_site_fract_x
_atom_site_fract_y
_atom_site_fract_z
_atom_site_occupancy
La1 La 0.000 0.000 0.000 1
Y1 Y 0.000 0.000 0.536 1
Y2 Y 0.500 0.500 0.271 1
Zr1 Zr 0.500 0.500 0.760 1
```

This record from the Alexandria database describes a geometry-optimized Nd2BeAl4Au3 structure. The functional is GGA-PBE.

The energy relative to the elements comes out at -0.614 eV per atom. Its mass density is 8.33 Mg/m³.

Geometry as CIF:
```
data_Nd2BeAl4Au3
_chemical_formula_sum 'Nd2 Be1 Al4 Au3'
_cell_length_a 4.342
_cell_length_b 4.342
_cell_length_c 10.533
_cell_angle_alpha 90.00
_cell_angle_beta 90.00
_cell_angle_gamma 90.00
_space_group_name_H-M_alt 'P -4 m 2'
_space_group_IT_number 115
_space_group_name_Hall 'P -4 -2'
loop_
_atom_site_label
_atom_site_type_symbol
_atom_site_fract_x
_atom_site_fract_y
_atom_site_fract_z
_atom_site_occupancy
Nd1 Nd 0.000 0.500 0.241 1
Be1 Be 0.500 0.500 0.000 1
Al1 Al 0.000 0.000 0.500 1
Al2 Al 0.000 0.500 0.874 1
Al3 Al 0.500 0.500 0.500 1
Au1 Au 0.000 0.000 0.000 1
Au2 Au 0.000 0.500 0.634 1
```

This record from the Alexandria database describes a geometry-optimized Er5HgAu4 structure. The functional is GGA-PBE.

The energy relative to the elements comes out at -0.802 eV per atom. Its mass density is 13.07 Mg/m³.

Geometry as CIF:
```
data_Er5HgAu4
_chemical_formula_sum 'Er5 Hg1 Au4'
_cell_length_a 3.580
_cell_length_b 3.580
_cell_length_c 18.087
_cell_angle_alpha 90.00
_cell_angle_beta 90.00
_cell_angle_gamma 90.00
_space_group_name_H-M_alt 'P 4/m m m'
_space_group_IT_number 123
_space_group_name_Hall '-P 4 2'
loop_
_atom_site_label
_atom_site_type_symbol
_atom_site_fract_x
_atom_site_fract_y
_atom_site_fract_z
_atom_site_occupancy
Er1 Er 0.000 0.000 0.000 1
Er2 Er 0.000 0.000 0.198 1
Er3 Er 0.000 0.000 0.394 1
Hg1 Hg 0.500 0.500 0.500 1
Au1 Au 0.500 0.500 0.099 1
Au2 Au 0.500 0.500 0.298 1
```

This record from the Alexandria database describes a geometry-optimized CrHg2Ir structure. The functional is GGA-PBE.

The energy relative to the elements comes out at 0.459 eV per atom. The energy above the most stable polymorph in this dataset is 0.236 eV/atom. Its mass density is 14.95 Mg/m³.

Geometry as CIF:
```
data_CrHg2Ir
_chemical_formula_sum 'Cr2 Hg4 Ir2'
_cell_length_a 9.457
_cell_length_b 3.078
_cell_length_c 5.029
_cell_angle_alpha 90.00
_cell_angle_beta 101.61
_cell_angle_gamma 90.00
_space_group_name_H-M_alt 'C 1 2/m 1'
_space_group_IT_number 12
_space_group_name_Hall '-C 2y'
loop_
_atom_site_label
_atom_site_type_symbol
_atom_site_fract_x
_atom_site_fract_y
_atom_site_fract_z
_atom_site_occupancy
Cr1 Cr 0.000 0.000 0.000 1
Hg1 Hg 0.250 0.000 0.749 1
Ir1 Ir 0.000 0.500 0.500 1
```

This record from the Alexandria database describes a geometry-optimized CePaAs structure. The functional is GGA-PBE.

The energy relative to the elements comes out at -0.395 eV per atom. The energy above the most stable polymorph in this dataset is 0.000 eV/atom. Its mass density is 9.72 Mg/m³.

Geometry as CIF:
```
data_CePaAs
_chemical_formula_sum 'Ce4 Pa4 As4'
_cell_length_a 3.607
_cell_length_b 23.602
_cell_length_c 3.582
_cell_angle_alpha 90.00
_cell_angle_beta 90.00
_cell_angle_gamma 90.00
_space_group_name_H-M_alt 'C m c m'
_space_group_IT_number 63
_space_group_name_Hall '-C 2c 2'
loop_
_atom_site_label
_atom_site_type_symbol
_atom_site_fract_x
_atom_site_fract_y
_atom_site_fract_z
_atom_site_occupancy
Ce1 Ce 0.000 0.194 0.250 1
Pa1 Pa 0.000 0.057 0.250 1
As1 As 0.000 0.378 0.250 1
```